Record 1
Density functional theory data (PBE) for a geometry-optimized Lu2Re structure.

Values from the calculation:
Energy relative to the elements   27.7 kJ per mole of atoms

CIF file:
```
data_Lu2Re
_chemical_formula_sum 'Lu2 Re1'
_space_group_name_H-M_alt 'P 1'
_space_group_IT_number 1
_cell_length_a 4.712
_cell_length_b 4.712
_cell_length_c 4.712
_cell_angle_alpha 60.00
_cell_angle_beta 60.00
_cell_angle_gamma 60.00
loop_
_space_group_symop_operation_xyz
'x,y,z'
loop_
_atom_site_label
_atom_site_type_symbol
_atom_site_fract_x
_atom_site_fract_y
_atom_site_fract_z
_atom_site_occupancy
Lu1 Lu 0.250 0.250 0.250 1
Lu2 Lu 0.750 0.750 0.750 1
Re1 Re 0.000 0.000 0.000 1
```

=====

Record 2
Density functional theory data (PBE) for a geometry-optimized Ag4SN2O2 structure.

Values from the calculation:
VASP energy   -4.61 eV/atom

CIF file:
```
data_Ag4SN2O2
_chemical_formula_sum 'Ag16 S4 N8 O8'
_space_group_name_H-M_alt 'P 1'
_space_group_IT_number 1
_cell_length_a 10.399
_cell_length_b 5.837
_cell_length_c 8.967
_cell_angle_alpha 90.00
_cell_angle_beta 90.00
_cell_angle_gamma 90.00
loop_
_space_group_symop_operation_xyz
'x,y,z'
loop_
_atom_site_label
_atom_site_type_symbol
_atom_site_fract_x
_atom_site_fract_y
_atom_site_fract_z
_atom_site_occupancy
Ag1 Ag 0.053 0.204 0.208 1
Ag2 Ag 0.101 0.594 0.000 1
Ag3 Ag 0.140 0.928 0.472 1
Ag4 Ag 0.191 0.520 0.650 1
Ag5 Ag 0.309 0.020 0.150 1
Ag6 Ag 0.360 0.428 0.972 1
Ag7 Ag 0.399 0.094 0.500 1
Ag8 Ag 0.447 0.704 0.708 1
Ag9 Ag 0.553 0.296 0.208 1
Ag10 Ag 0.601 0.906 0.000 1
Ag11 Ag 0.640 0.572 0.472 1
Ag12 Ag 0.691 0.980 0.650 1
Ag13 Ag 0.809 0.480 0.150 1
Ag14 Ag 0.860 0.072 0.972 1
Ag15 Ag 0.899 0.406 0.500 1
Ag16 Ag 0.947 0.796 0.708 1
S1 S 0.142 0.097 0.869 1
S2 S 0.358 0.597 0.369 1
S3 S 0.642 0.403 0.869 1
S4 S 0.858 0.903 0.369 1
N1 N 0.037 0.911 0.913 1
N2 N 0.182 0.247 0.018 1
N3 N 0.318 0.747 0.518 1
N4 N 0.463 0.411 0.413 1
N5 N 0.537 0.589 0.913 1
N6 N 0.682 0.253 0.018 1
N7 N 0.818 0.753 0.518 1
N8 N 0.963 0.089 0.413 1
O1 O 0.077 0.260 0.760 1
O2 O 0.240 0.498 0.306 1
O3 O 0.260 0.998 0.806 1
O4 O 0.423 0.760 0.260 1
O5 O 0.577 0.240 0.760 1
O6 O 0.740 0.002 0.306 1
O7 O 0.760 0.502 0.806 1
O8 O 0.923 0.740 0.260 1
```

=====

Record 3
Density functional theory data (PBE) for a geometry-optimized Nd2ScNiSn3Ir2 structure.

Values from the calculation:
VASP energy   -6.39 eV/atom

CIF file:
```
data_Nd2ScNiSn3Ir2
_chemical_formula_sum 'Nd2 Sc1 Ni1 Sn3 Ir2'
_space_group_name_H-M_alt 'P 1'
_space_group_IT_number 1
_cell_length_a 3.913
_cell_length_b 7.474
_cell_length_c 7.474
_cell_angle_alpha 119.16
_cell_angle_beta 90.00
_cell_angle_gamma 90.00
loop_
_space_group_symop_operation_xyz
'x,y,z'
loop_
_atom_site_label
_atom_site_type_symbol
_atom_site_fract_x
_atom_site_fract_y
_atom_site_fract_z
_atom_site_occupancy
Nd1 Nd 0.000 0.205 0.795 1
Nd2 Nd 0.000 0.795 0.205 1
Sc1 Sc 0.000 0.386 0.386 1
Ni1 Ni 0.000 0.785 0.785 1
Sn1 Sn 0.500 0.045 0.045 1
Sn2 Sn 0.500 0.543 0.788 1
Sn3 Sn 0.500 0.788 0.543 1
Ir1 Ir 0.500 0.145 0.453 1
Ir2 Ir 0.500 0.453 0.145 1
```